! PBE Dy3Be2Ga4, optimized geometry; values from VASP
! * total moment: 0.0 μB/f.u.
! * E_form: -504 meV/atom
! * D(E_F): 0.531 states/eV/atom
&SYSTEM
  ibrav = 0, nat = 9, ntyp = 3
/
ATOMIC_SPECIES
Ga 69.72 Ga.upf
Be 9.01 Be.upf
Dy 162.50 Dy.upf
CELL_PARAMETERS angstrom
-2.3997 3.0493 1.6052
-0.2133 -0.2326 5.6158
5.5858 5.2576 3.8559
ATOMIC_POSITIONS angstrom
Ga 3.2163 3.3765 3.8869
Be 0.5069 2.4536 7.0822
Ga 3.3441 6.9474 8.2798
Dy 2.7615 4.3927 6.7694
Dy 0.0000 0.0000 0.0000
Dy 0.2112 3.6816 4.3075
Be 2.4658 5.6206 3.9946
Ga -0.2435 4.6977 7.1900
Ga -0.3713 1.1268 2.7971


! PBE Dy3BeGa2Ir3, optimized geometry; values from VASP
! * total moment: 0.0 μB/f.u.
! * E_form: -747 meV/atom
! * D(E_F): 0.480 states/eV/atom
&SYSTEM
  ibrav = 0, nat = 9, ntyp = 4
/
ATOMIC_SPECIES
Dy 162.50 Dy.upf
Be 9.01 Be.upf
Ir 192.22 Ir.upf
Ga 69.72 Ga.upf
CELL_PARAMETERS angstrom
3.6655 0.0000 0.0000
0.0000 7.1256 0.0000
0.0000 -3.5628 6.1709
ATOMIC_POSITIONS angstrom
Dy 0.0000 -1.3631 2.3610
Dy 0.0000 2.1997 3.8100
Be 0.0000 0.0000 0.0000
Ir 1.8327 -2.7366 4.7399
Ir 1.8327 0.8262 1.4311
Ir 1.8327 5.4731 0.0000
Ga 1.8327 3.5628 2.0570
Ga 1.8327 0.0000 4.1140
Dy 0.0000 2.7262 0.0000


! PBE Dy2Be3GaIr4, optimized geometry; values from VASP
! * total moment: 0.0 μB/f.u.
! * E_form: -674 meV/atom
! * D(E_F): 0.274 states/eV/atom
&SYSTEM
  ibrav = 0, nat = 10, ntyp = 4
/
ATOMIC_SPECIES
Be 9.01 Be.upf
Ir 192.22 Ir.upf
Dy 162.50 Dy.upf
Ga 69.72 Ga.upf
CELL_PARAMETERS angstrom
4.0841 0.0000 0.0000
0.0000 4.0841 0.0000
0.0000 0.0000 9.4476
ATOMIC_POSITIONS angstrom
Be 0.0000 2.0421 1.0478
Ir 2.0421 0.0000 6.0823
Be 0.0000 0.0000 4.7238
Ir 0.0000 2.0421 3.3653
Dy 0.0000 2.0421 7.2504
Ir 0.0000 0.0000 0.0000
Dy 2.0421 0.0000 2.1972
Ga 2.0421 2.0421 4.7238
Be 2.0421 0.0000 8.3998
Ir 2.0421 2.0421 0.0000


Please write out number 3 again, unchanged.
! PBE Dy2Be3GaIr4, optimized geometry; values from VASP
! * total moment: 0.0 μB/f.u.
! * E_form: -674 meV/atom
! * D(E_F): 0.274 states/eV/atom
&SYSTEM
  ibrav = 0, nat = 10, ntyp = 4
/
ATOMIC_SPECIES
Be 9.01 Be.upf
Ir 192.22 Ir.upf
Dy 162.50 Dy.upf
Ga 69.72 Ga.upf
CELL_PARAMETERS angstrom
4.0841 0.0000 0.0000
0.0000 4.0841 0.0000
0.0000 0.0000 9.4476
ATOMIC_POSITIONS angstrom
Be 0.0000 2.0421 1.0478
Ir 2.0421 0.0000 6.0823
Be 0.0000 0.0000 4.7238
Ir 0.0000 2.0421 3.3653
Dy 0.0000 2.0421 7.2504
Ir 0.0000 0.0000 0.0000
Dy 2.0421 0.0000 2.1972
Ga 2.0421 2.0421 4.7238
Be 2.0421 0.0000 8.3998
Ir 2.0421 2.0421 0.0000